No. 1
A plane-wave DFT calculation with meta-GGA SCAN was carried out for a PBEsol-optimized structure of K2MnMo.

The total energy comes out at -131.82 eV for the cell shown. As for the formation energy: 0.972 eV/atom.

The structure belongs to space group Cm (No. 8); the cell edges are 6.946, 3.619 and 10.257 Å and the angles 90.00°, 99.88° and 90.00°. Symmetry generates all atoms from K at (0.000, 0.000, 0.000), K at (0.158, 0.000, 0.561), Mn at (0.426, 0.000, 0.290) and Mo at (0.250, 0.500, 0.275).

---

No. 2
A plane-wave DFT calculation with meta-GGA SCAN was carried out for a PBEsol-optimized structure of Y2Mo.

The total energy comes out at -357.54 eV for the cell shown. As for the formation energy: 0.396 eV/atom.

The structure belongs to space group Cmcm (No. 63); the cell edges are 3.585, 16.051 and 5.008 Å and the angles 90.00°, 90.00° and 90.00°. Symmetry generates all atoms from Y at (0.000, 0.086, 0.250), Y at (0.000, 0.205, 0.750) and Mo at (0.000, 0.454, 0.250).

---

No. 3
A plane-wave DFT calculation with meta-GGA SCAN was carried out for a PBEsol-optimized structure of HfGaO2.

The total energy comes out at -295.28 eV for the cell shown.

The structure belongs to space group R-3m (No. 166, hexagonal axes); the cell edges are 3.0851, 3.0851 and 18.6049 Å and the angles 90.00°, 90.00° and 120.00°. Symmetry generates all atoms from Hf at (0.0000, 0.0000, 0.0000), Ga at (0.0000, 0.0000, 0.5000) and O at (0.0000, 0.0000, 0.1131).